Density functional theory data (PBE) for crystalline FeNiPt2 at its relaxed geometry.

Cell and atoms, written as extended XYZ:
```
4
Lattice="-1.367 1.199 -2.016 0.761 -1.981 -1.694 -6.098 -3.897 1.819" Properties=species:S:1:pos:R:3 pbc="T T T"
Fe 0.000 0.000 0.000
Ni -3.049 -1.948 0.909
Pt -1.830 -1.367 -1.399
Pt -4.874 -3.312 -0.491
```

Results
E (eV per atom): -6.77

---

Density functional theory data (PBE) for crystalline Cs3SrAg2Br9 at its relaxed geometry.

Cell and atoms, written as extended XYZ:
```
15
Lattice="-2.652 -2.712 7.025 6.943 -2.633 -2.932 4.742 7.351 4.628" Properties=species:S:1:pos:R:3 pbc="T T T"
Cs 6.929 2.276 3.494
Cs 0.000 0.000 0.000
Cs 2.104 -0.271 5.227
Sr 2.371 3.676 2.314
Ag 4.467 -1.540 1.092
Ag 4.566 3.546 7.629
Br 2.241 2.315 8.460
Br 5.584 1.048 7.049
Br 3.518 3.621 5.078
Br 5.516 -1.615 3.643
Br 3.450 0.958 1.672
Br 6.792 -0.309 0.261
Br -1.326 -1.356 3.513
Br 3.472 -1.316 -1.466
Br 2.146 -2.673 2.047
```

Results
Formation energy (no corrections) (eV per atom): -1.230

---

Copy entry 2 word for word.
Density functional theory data (PBE) for crystalline Cs3SrAg2Br9 at its relaxed geometry.

Cell and atoms, written as extended XYZ:
```
15
Lattice="-2.652 -2.712 7.025 6.943 -2.633 -2.932 4.742 7.351 4.628" Properties=species:S:1:pos:R:3 pbc="T T T"
Cs 6.929 2.276 3.494
Cs 0.000 0.000 0.000
Cs 2.104 -0.271 5.227
Sr 2.371 3.676 2.314
Ag 4.467 -1.540 1.092
Ag 4.566 3.546 7.629
Br 2.241 2.315 8.460
Br 5.584 1.048 7.049
Br 3.518 3.621 5.078
Br 5.516 -1.615 3.643
Br 3.450 0.958 1.672
Br 6.792 -0.309 0.261
Br -1.326 -1.356 3.513
Br 3.472 -1.316 -1.466
Br 2.146 -2.673 2.047
```

Results
Formation energy (no corrections) (eV per atom): -1.230

---

Number 1 is which compound?
FeNiPt2